# NdMnTeO6 (PBE with a Hubbard U, optimized geometry)
data_NdMnTeO6
_cell_length_a 5.7311
_cell_length_b 5.7311
_cell_length_c 8.4787
_cell_angle_alpha 90.00
_cell_angle_beta 90.00
_cell_angle_gamma 120.00
_symmetry_space_group_name_H-M 'P 1'
_symmetry_Int_Tables_number 1
loop_
_symmetry_equiv_pos_as_xyz
'x,y,z'
loop_
_atom_site_label
_atom_site_type_symbol
_atom_site_fract_x
_atom_site_fract_y
_atom_site_fract_z
O1 O 0.6864 0.6286 0.1232
O2 O 0.9422 0.3136 0.1232
O3 O 0.6864 0.0578 0.3768
O4 O 0.3136 0.9422 0.6232
O5 O 0.6286 0.9422 0.8768
O6 O 0.0578 0.3714 0.6232
O7 O 0.9422 0.6286 0.3768
O8 O 0.6286 0.6864 0.6232
O9 O 0.3714 0.3136 0.3768
O10 O 0.0578 0.6864 0.8768
O11 O 0.3714 0.0578 0.1232
O12 O 0.3136 0.3714 0.8768
Nd1 Nd 0.6667 0.3333 0.7500
Nd2 Nd 0.3333 0.6667 0.2500
Mn1 Mn 0.0000 0.0000 0.0000
Mn2 Mn 0.0000 0.0000 0.5000
Te1 Te 0.3333 0.6667 0.7500
Te2 Te 0.6667 0.3333 0.2500
# Magnetic moment (Bohr magnetons per cell): 7.973
# Space group: No. 163
# D(E_F) (states/eV/cell): 9.76
# Crystal system: trigonal
# Electronic total energy (eV per atom): -6.644

---

# NdMnTeO2 (PBE with a Hubbard U, optimized geometry)
data_NdMnTeO2
_cell_length_a 5.5482
_cell_length_b 5.5567
_cell_length_c 7.3159
_cell_angle_alpha 112.32
_cell_angle_beta 90.00
_cell_angle_gamma 90.00
_symmetry_space_group_name_H-M 'P 1'
_symmetry_Int_Tables_number 1
loop_
_symmetry_equiv_pos_as_xyz
'x,y,z'
loop_
_atom_site_label
_atom_site_type_symbol
_atom_site_fract_x
_atom_site_fract_y
_atom_site_fract_z
O1 O 0.0000 0.2448 0.0000
O2 O 0.5000 0.2448 0.0000
O3 O 0.0000 0.7552 0.0000
O4 O 0.5000 0.7552 0.0000
Nd1 Nd 0.7500 0.4084 0.8168
Nd2 Nd 0.2500 0.5916 0.1832
Te1 Te 0.7500 0.7494 0.4989
Te2 Te 0.2500 0.2506 0.5011
Mn1 Mn 0.7500 0.0493 0.0986
Mn2 Mn 0.2500 0.9507 0.9014
# Magnetic moment (Bohr magnetons per cell): 9.238
# Space group: No. 63
# D(E_F) (states/eV/cell): 3.93
# Crystal system: orthorhombic
# Electronic total energy (eV per atom): -6.978

---

# NdMn2TlO8 (PBE with a Hubbard U, optimized geometry)
data_NdMn2TlO8
_cell_length_a 5.8432
_cell_length_b 5.8432
_cell_length_c 7.8499
_cell_angle_alpha 90.00
_cell_angle_beta 90.00
_cell_angle_gamma 120.00
_symmetry_space_group_name_H-M 'P 1'
_symmetry_Int_Tables_number 1
loop_
_symmetry_equiv_pos_as_xyz
'x,y,z'
loop_
_atom_site_label
_atom_site_type_symbol
_atom_site_fract_x
_atom_site_fract_y
_atom_site_fract_z
Nd1 Nd 0.0000 0.0000 0.5000
O1 O 0.6667 0.3333 0.0286
O2 O 0.8250 0.1787 0.3072
O3 O 0.6462 0.8250 0.6928
O4 O 0.3333 0.6667 0.9714
O5 O 0.8213 0.6462 0.3072
O6 O 0.1750 0.8213 0.6928
O7 O 0.1787 0.3538 0.6928
O8 O 0.3538 0.1750 0.3072
Tl1 Tl 0.0000 0.0000 0.0000
Mn1 Mn 0.6667 0.3333 0.2357
Mn2 Mn 0.3333 0.6667 0.7643
# Magnetic moment (Bohr magnetons per cell): 2.000
# Space group: No. 147
# D(E_F) (states/eV/cell): 8.45
# Crystal system: trigonal
# Electronic total energy (eV per atom): -6.402

---

# NdUMnO6 (PBE with a Hubbard U, optimized geometry)
data_NdUMnO6
_cell_length_a 4.4309
_cell_length_b 5.8034
_cell_length_c 5.8034
_cell_angle_alpha 120.00
_cell_angle_beta 90.00
_cell_angle_gamma 90.00
_symmetry_space_group_name_H-M 'P 1'
_symmetry_Int_Tables_number 1
loop_
_symmetry_equiv_pos_as_xyz
'x,y,z'
loop_
_atom_site_label
_atom_site_type_symbol
_atom_site_fract_x
_atom_site_fract_y
_atom_site_fract_z
U1 U 0.5000 0.0000 0.0000
O1 O 0.2563 0.0211 0.7019
O2 O 0.7437 0.0211 0.3192
O3 O 0.7437 0.6808 0.7019
O4 O 0.2563 0.6808 0.9789
O5 O 0.2563 0.2981 0.3192
O6 O 0.7437 0.2981 0.9789
Nd1 Nd 0.5000 0.6667 0.3333
Mn1 Mn 0.0000 0.3333 0.6667
# Magnetic moment (Bohr magnetons per cell): 3.995
# Space group: No. 149
# D(E_F) (states/eV/cell): 3.37
# Crystal system: trigonal
# Electronic total energy (eV per atom): -8.429

---

# Nd2MnVO6 (PBE with a Hubbard U, optimized geometry)
data_Nd2MnVO6
_cell_length_a 5.4407
_cell_length_b 5.7133
_cell_length_c 7.7477
_cell_angle_alpha 90.00
_cell_angle_beta 90.53
_cell_angle_gamma 90.00
_symmetry_space_group_name_H-M 'P 1'
_symmetry_Int_Tables_number 1
loop_
_symmetry_equiv_pos_as_xyz
'x,y,z'
loop_
_atom_site_label
_atom_site_type_symbol
_atom_site_fract_x
_atom_site_fract_y
_atom_site_fract_z
O1 O 0.7023 0.2947 0.5475
O2 O 0.5908 0.0262 0.2504
O3 O 0.7938 0.8022 0.5462
O4 O 0.2062 0.1978 0.4538
O5 O 0.2023 0.2053 0.0475
O6 O 0.2977 0.7053 0.4525
O7 O 0.9092 0.5262 0.2496
O8 O 0.7977 0.7947 0.9525
O9 O 0.7062 0.3022 0.9538
O10 O 0.4092 0.9738 0.7496
O11 O 0.0908 0.4738 0.7504
O12 O 0.2938 0.6978 0.0462
Nd1 Nd 0.5168 0.5589 0.7488
Nd2 Nd 0.4832 0.4411 0.2512
Nd3 Nd 0.0168 0.9411 0.2488
Nd4 Nd 0.9832 0.0589 0.7512
Mn1 Mn 0.5000 0.0000 0.5000
Mn2 Mn 0.0000 0.5000 0.0000
V1 V 0.0000 0.5000 0.5000
V2 V 0.5000 0.0000 0.0000
# Magnetic moment (Bohr magnetons per cell): 7.881
# Space group: No. 14
# D(E_F) (states/eV/cell): 0.00
# Crystal system: monoclinic
# Electronic total energy (eV per atom): -7.965

---

# NdMn3V4O12 (PBE with a Hubbard U, optimized geometry)
data_NdMn3V4O12
_cell_length_a 6.5634
_cell_length_b 6.5634
_cell_length_c 6.5634
_cell_angle_alpha 109.47
_cell_angle_beta 109.47
_cell_angle_gamma 109.47
_symmetry_space_group_name_H-M 'P 1'
_symmetry_Int_Tables_number 1
loop_
_symmetry_equiv_pos_as_xyz
'x,y,z'
loop_
_atom_site_label
_atom_site_type_symbol
_atom_site_fract_x
_atom_site_fract_y
_atom_site_fract_z
V1 V 0.0000 0.5000 0.0000
V2 V 0.5000 0.5000 0.5000
V3 V 0.5000 0.0000 0.0000
V4 V 0.0000 0.0000 0.5000
O1 O 0.7036 0.5157 0.8121
O2 O 0.2964 0.1084 0.8121
O3 O 0.1879 0.7036 0.8916
O4 O 0.5157 0.8121 0.7036
O5 O 0.8121 0.2964 0.1084
O6 O 0.1879 0.2964 0.4843
O7 O 0.4843 0.1879 0.2964
O8 O 0.7036 0.8916 0.1879
O9 O 0.8916 0.1879 0.7036
O10 O 0.1084 0.8121 0.2964
O11 O 0.8121 0.7036 0.5157
O12 O 0.2964 0.4843 0.1879
Mn1 Mn 0.5000 0.0000 0.5000
Mn2 Mn 0.0000 0.5000 0.5000
Mn3 Mn 0.5000 0.5000 0.0000
Nd1 Nd 0.0000 0.0000 0.0000
# Magnetic moment (Bohr magnetons per cell): 20.000
# Space group: No. 204
# D(E_F) (states/eV/cell): 4.23
# Crystal system: cubic
# Electronic total energy (eV per atom): -7.895